{"formula": "LiTb4Th3Se8", "functional": "PBE-GGA", "state": "relaxed", "lattice_angstrom": [[4.120, 2.379, 6.763], [-4.120, 2.379, 6.763], [0.000, -4.758, 6.763]], "species": ["Li", "Tb", "Tb", "Tb", "Tb", "Th", "Th", "Th", "Se", "Se", "Se", "Se", "Se", "Se", "Se", "Se"], "fractional_positions": [[0.000, 0.000, 0.000], [0.000, 0.000, 0.500], [0.000, 0.500, 0.000], [0.500, 0.000, 0.000], [0.500, 0.500, 0.500], [0.000, 0.500, 0.500], [0.500, 0.000, 0.500], [0.500, 0.500, 0.000], [0.237, 0.756, 0.756], [0.244, 0.244, 0.763], [0.244, 0.763, 0.244], [0.246, 0.246, 0.246], [0.754, 0.754, 0.754], [0.756, 0.237, 0.756], [0.756, 0.756, 0.237], [0.763, 0.244, 0.244]], "dft_energy_ev_per_cell": -97.0, "raw_formation_energy_ev_per_fu": -26.41}

---

{"formula": "Li4Tb3TiSe8", "functional": "PBE-GGA", "state": "relaxed", "lattice_angstrom": [[3.996, 2.307, 6.485], [-3.996, 2.307, 6.485], [0.000, -4.614, 6.485]], "species": ["Li", "Li", "Li", "Li", "Tb", "Tb", "Tb", "Ti", "Se", "Se", "Se", "Se", "Se", "Se", "Se", "Se"], "fractional_positions": [[0.000, 0.000, 0.000], [0.000, 0.500, 0.500], [0.500, 0.000, 0.500], [0.500, 0.500, 0.000], [0.000, 0.000, 0.500], [0.000, 0.500, 0.000], [0.500, 0.000, 0.000], [0.500, 0.500, 0.500], [0.253, 0.253, 0.253], [0.260, 0.260, 0.732], [0.260, 0.732, 0.260], [0.268, 0.740, 0.740], [0.732, 0.260, 0.260], [0.740, 0.268, 0.740], [0.740, 0.740, 0.268], [0.747, 0.747, 0.747]], "dft_energy_ev_per_cell": -81.9, "raw_formation_energy_ev_per_fu": -24.63}

---

{"formula": "LiTbTmSe3", "functional": "PBE-GGA", "state": "relaxed", "lattice_angstrom": [[8.280, 0.000, 0.000], [0.000, 3.939, 0.000], [-1.962, 0.000, 8.488]], "species": ["Li", "Li", "Tb", "Tb", "Tm", "Tm", "Se", "Se", "Se", "Se", "Se", "Se"], "fractional_positions": [[0.087, 0.250, 0.084], [0.913, 0.750, 0.916], [0.188, 0.250, 0.725], [0.812, 0.750, 0.275], [0.334, 0.750, 0.335], [0.666, 0.250, 0.665], [0.093, 0.250, 0.372], [0.228, 0.750, 0.996], [0.427, 0.750, 0.672], [0.573, 0.250, 0.328], [0.772, 0.250, 0.004], [0.907, 0.750, 0.628]], "dft_energy_ev_per_cell": -62.4, "raw_formation_energy_ev_per_fu": -9.73}

---

{"formula": "LiTb2TmSe5", "functional": "PBE-GGA", "state": "relaxed", "lattice_angstrom": [[2.025, -8.479, 0.000], [2.025, 8.479, 0.000], [0.000, 0.000, 12.325]], "species": ["Li", "Li", "Tb", "Tb", "Tb", "Tb", "Tm", "Tm", "Se", "Se", "Se", "Se", "Se", "Se", "Se", "Se", "Se", "Se"], "fractional_positions": [[0.013, 0.987, 0.500], [0.987, 0.013, 0.000], [0.374, 0.626, 0.312], [0.393, 0.607, 0.704], [0.607, 0.393, 0.204], [0.626, 0.374, 0.812], [0.304, 0.696, 0.021], [0.696, 0.304, 0.521], [0.000, 0.000, 0.303], [0.000, 0.000, 0.803], [0.138, 0.862, 0.018], [0.193, 0.807, 0.361], [0.216, 0.784, 0.681], [0.453, 0.547, 0.093], [0.547, 0.453, 0.593], [0.784, 0.216, 0.181], [0.807, 0.193, 0.861], [0.862, 0.138, 0.518]], "dft_energy_ev_per_cell": -96.8, "raw_formation_energy_ev_per_fu": -15.31}

---

{"formula": "Li2Tb3TmSe6", "functional": "PBE-GGA", "state": "relaxed", "lattice_angstrom": [[3.493, -6.049, 0.000], [3.493, 6.049, 0.000], [-2.326, 0.000, 6.596]], "species": ["Li", "Li", "Tb", "Tb", "Tb", "Tm", "Se", "Se", "Se", "Se", "Se", "Se"], "fractional_positions": [[0.167, 0.833, 0.000], [0.833, 0.167, 0.000], [0.000, 0.000, 0.500], [0.333, 0.667, 0.500], [0.667, 0.333, 0.500], [0.500, 0.500, 0.000], [0.084, 0.420, 0.761], [0.244, 0.244, 0.240], [0.420, 0.084, 0.761], [0.580, 0.916, 0.239], [0.756, 0.756, 0.760], [0.916, 0.580, 0.239]], "dft_energy_ev_per_cell": -63.8, "raw_formation_energy_ev_per_fu": -20.74}

---

{"formula": "LiTbTm4Se8", "functional": "PBE-GGA", "state": "relaxed", "lattice_angstrom": [[4.134, 2.387, 6.799], [-4.134, 2.387, 6.799], [0.000, -4.774, 6.799]], "species": ["Li", "Tb", "Tm", "Tm", "Tm", "Tm", "Se", "Se", "Se", "Se", "Se", "Se", "Se", "Se"], "fractional_positions": [[0.000, 0.000, 0.000], [0.370, 0.370, 0.370], [0.369, 0.369, 0.891], [0.369, 0.891, 0.369], [0.749, 0.749, 0.749], [0.891, 0.369, 0.369], [0.128, 0.128, 0.610], [0.128, 0.610, 0.128], [0.131, 0.131, 0.131], [0.149, 0.619, 0.619], [0.610, 0.128, 0.128], [0.616, 0.616, 0.616], [0.619, 0.149, 0.619], [0.619, 0.619, 0.149]], "dft_energy_ev_per_cell": -77.1, "raw_formation_energy_ev_per_fu": -24.81}

---

{"formula": "LiTb4TmSe8", "functional": "PBE-GGA", "state": "relaxed", "lattice_angstrom": [[4.196, 2.422, 6.803], [-4.196, 2.422, 6.803], [0.000, -4.845, 6.803]], "species": ["Li", "Tb", "Tb", "Tb", "Tb", "Tm", "Se", "Se", "Se", "Se", "Se", "Se", "Se", "Se"], "fractional_positions": [[0.000, 0.000, 0.000], [0.110, 0.630, 0.630], [0.249, 0.249, 0.249], [0.630, 0.110, 0.630], [0.630, 0.630, 0.110], [0.630, 0.630, 0.630], [0.383, 0.383, 0.383], [0.387, 0.387, 0.847], [0.387, 0.847, 0.387], [0.391, 0.868, 0.868], [0.847, 0.387, 0.387], [0.868, 0.391, 0.868], [0.868, 0.868, 0.391], [0.870, 0.870, 0.870]], "dft_energy_ev_per_cell": -77.7, "raw_formation_energy_ev_per_fu": -24.92}

---

{"formula": "LiTb2TmSe4", "functional": "PBE-GGA", "state": "relaxed", "lattice_angstrom": [[6.989, 0.000, 0.000], [0.000, 4.031, 0.000], [-2.312, 0.000, 6.617]], "species": ["Li", "Tb", "Tb", "Tm", "Se", "Se", "Se", "Se"], "fractional_positions": [[0.000, 0.000, 0.000], [0.000, 0.500, 0.500], [0.500, 0.000, 0.500], [0.500, 0.500, 0.000], [0.243, 0.500, 0.239], [0.248, 0.000, 0.761], [0.752, 0.000, 0.239], [0.757, 0.500, 0.761]], "dft_energy_ev_per_cell": -43.5, "raw_formation_energy_ev_per_fu": -13.88}

---

{"formula": "LiTbTm2Se4", "functional": "PBE-GGA", "state": "relaxed", "lattice_angstrom": [[6.975, 0.000, 0.000], [0.000, 4.009, 0.000], [-2.299, 0.000, 6.593]], "species": ["Li", "Tb", "Tm", "Tm", "Se", "Se", "Se", "Se"], "fractional_positions": [[0.000, 0.000, 0.000], [0.000, 0.500, 0.500], [0.500, 0.000, 0.500], [0.500, 0.500, 0.000], [0.248, 0.500, 0.244], [0.251, 0.000, 0.758], [0.749, 0.000, 0.242], [0.752, 0.500, 0.756]], "dft_energy_ev_per_cell": -43.2, "raw_formation_energy_ev_per_fu": -13.74}

---

{"formula": "Li4TbTm3Se8", "functional": "PBE-GGA", "state": "relaxed", "lattice_angstrom": [[4.037, 2.331, 6.491], [-4.037, 2.331, 6.491], [0.000, -4.661, 6.491]], "species": ["Li", "Li", "Li", "Li", "Tb", "Tm", "Tm", "Tm", "Se", "Se", "Se", "Se", "Se", "Se", "Se", "Se"], "fractional_positions": [[0.000, 0.000, 0.000], [0.000, 0.500, 0.500], [0.500, 0.000, 0.500], [0.500, 0.500, 0.000], [0.500, 0.500, 0.500], [0.000, 0.000, 0.500], [0.000, 0.500, 0.000], [0.500, 0.000, 0.000], [0.247, 0.752, 0.752], [0.248, 0.248, 0.753], [0.248, 0.753, 0.248], [0.250, 0.250, 0.250], [0.750, 0.750, 0.750], [0.752, 0.247, 0.752], [0.752, 0.752, 0.247], [0.753, 0.248, 0.248]], "dft_energy_ev_per_cell": -80.7, "raw_formation_energy_ev_per_fu": -27.11}

---

{"formula": "LiTb2Tm3Se6", "functional": "PBE-GGA", "state": "relaxed", "lattice_angstrom": [[8.808, -2.014, 0.000], [8.808, 2.014, 0.000], [-1.864, 0.000, 7.860]], "species": ["Li", "Tb", "Tb", "Tm", "Tm", "Tm", "Se", "Se", "Se", "Se", "Se", "Se"], "fractional_positions": [[0.000, 0.000, 0.000], [0.330, 0.330, 0.659], [0.670, 0.670, 0.341], [0.000, 0.000, 0.500], [0.333, 0.333, 0.170], [0.667, 0.667, 0.830], [0.163, 0.163, 0.588], [0.164, 0.164, 0.077], [0.499, 0.499, 0.245], [0.501, 0.501, 0.755], [0.836, 0.836, 0.923], [0.837, 0.837, 0.412]], "dft_energy_ev_per_cell": -66.2, "raw_formation_energy_ev_per_fu": -20.70}

---

{"formula": "Li3Tb2USe6", "functional": "PBE-GGA", "state": "relaxed", "lattice_angstrom": [[3.538, -6.126, 0.000], [3.538, 6.126, 0.000], [-2.358, 0.000, 6.527]], "species": ["Li", "Li", "Li", "Tb", "Tb", "U", "Se", "Se", "Se", "Se", "Se", "Se"], "fractional_positions": [[0.000, 0.000, 0.000], [0.332, 0.668, 0.000], [0.668, 0.332, 0.000], [0.167, 0.833, 0.500], [0.833, 0.167, 0.500], [0.500, 0.500, 0.500], [0.080, 0.414, 0.243], [0.251, 0.251, 0.757], [0.414, 0.080, 0.243], [0.586, 0.920, 0.757], [0.749, 0.749, 0.243], [0.920, 0.586, 0.757]], "dft_energy_ev_per_cell": -65.2, "raw_formation_energy_ev_per_fu": -18.03}

---

{"formula": "Li3TbU2Se6", "functional": "PBE-GGA", "state": "relaxed", "lattice_angstrom": [[3.513, -6.085, 0.000], [3.513, 6.085, 0.000], [-2.342, 0.000, 6.564]], "species": ["Li", "Li", "Li", "Tb", "U", "U", "Se", "Se", "Se", "Se", "Se", "Se"], "fractional_positions": [[0.000, 0.000, 0.000], [0.335, 0.665, 0.000], [0.665, 0.335, 0.000], [0.500, 0.500, 0.500], [0.167, 0.833, 0.500], [0.833, 0.167, 0.500], [0.081, 0.414, 0.242], [0.253, 0.253, 0.758], [0.414, 0.081, 0.242], [0.586, 0.919, 0.758], [0.747, 0.747, 0.242], [0.919, 0.586, 0.758]], "dft_energy_ev_per_cell": -69.9, "raw_formation_energy_ev_per_fu": -16.06}

---

{"formula": "LiTbUSe4", "functional": "PBE-GGA", "state": "relaxed", "lattice_angstrom": [[-4.131, 4.177, 5.854], [4.131, -4.177, 5.854], [4.131, 4.177, -5.854]], "species": ["Li", "Li", "Tb", "Tb", "U", "U", "Se", "Se", "Se", "Se", "Se", "Se", "Se", "Se"], "fractional_positions": [[0.381, 0.131, 0.250], [0.619, 0.869, 0.750], [0.000, 0.000, 0.500], [0.000, 0.500, 0.000], [0.000, 0.500, 0.500], [0.500, 0.500, 0.000], [0.231, 0.741, 0.490], [0.247, 0.261, 0.514], [0.247, 0.732, 0.986], [0.249, 0.259, 0.990], [0.751, 0.741, 0.010], [0.753, 0.268, 0.014], [0.753, 0.739, 0.486], [0.769, 0.259, 0.510]], "dft_energy_ev_per_cell": -83.7, "raw_formation_energy_ev_per_fu": -10.08}

---

{"formula": "LiTbU2Se4", "functional": "PBE-GGA", "state": "relaxed", "lattice_angstrom": [[6.858, 0.000, 0.000], [0.000, 3.970, 0.000], [-2.302, 0.000, 6.914]], "species": ["Li", "Tb", "U", "U", "Se", "Se", "Se", "Se"], "fractional_positions": [[0.000, 0.000, 0.000], [0.500, 0.500, 0.000], [0.000, 0.500, 0.500], [0.500, 0.000, 0.500], [0.239, 0.500, 0.237], [0.244, 0.000, 0.760], [0.756, 0.000, 0.240], [0.761, 0.500, 0.763]], "dft_energy_ev_per_cell": -53.4, "raw_formation_energy_ev_per_fu": -10.34}

---

{"formula": "LiTb2USe6", "functional": "PBE-GGA", "state": "relaxed", "lattice_angstrom": [[3.558, 2.054, 6.409], [-3.558, 2.054, 6.409], [0.000, -4.109, 6.409]], "species": ["Li", "Tb", "Tb", "U", "Se", "Se", "Se", "Se", "Se", "Se"], "fractional_positions": [[0.000, 0.000, 0.000], [0.295, 0.295, 0.295], [0.803, 0.803, 0.803], [0.489, 0.489, 0.489], [0.100, 0.705, 0.393], [0.226, 0.606, 0.872], [0.393, 0.100, 0.705], [0.606, 0.872, 0.226], [0.705, 0.393, 0.100], [0.872, 0.226, 0.606]], "dft_energy_ev_per_cell": -58.0, "raw_formation_energy_ev_per_fu": -14.67}

---

{"formula": "LiTbUSe3", "functional": "PBE-GGA", "state": "relaxed", "lattice_angstrom": [[8.494, 0.000, 0.000], [0.000, 3.921, 0.000], [-2.037, 0.000, 8.553]], "species": ["Li", "Li", "Tb", "Tb", "U", "U", "Se", "Se", "Se", "Se", "Se", "Se"], "fractional_positions": [[0.086, 0.250, 0.080], [0.914, 0.750, 0.920], [0.336, 0.750, 0.336], [0.664, 0.250, 0.664], [0.176, 0.250, 0.712], [0.824, 0.750, 0.288], [0.095, 0.250, 0.365], [0.222, 0.750, 0.989], [0.424, 0.750, 0.676], [0.576, 0.250, 0.324], [0.778, 0.250, 0.011], [0.905, 0.750, 0.635]], "dft_energy_ev_per_cell": -72.5, "raw_formation_energy_ev_per_fu": -7.96}

---

{"formula": "LiTb2USe4", "functional": "PBE-GGA", "state": "relaxed", "lattice_angstrom": [[7.049, 0.000, 0.000], [0.000, 4.043, 0.000], [-2.325, 0.000, 6.686]], "species": ["Li", "Tb", "Tb", "U", "Se", "Se", "Se", "Se"], "fractional_positions": [[0.000, 0.000, 0.000], [0.500, 0.000, 0.500], [0.500, 0.500, 0.000], [0.000, 0.500, 0.500], [0.243, 0.500, 0.242], [0.246, 0.000, 0.757], [0.754, 0.000, 0.243], [0.757, 0.500, 0.758]], "dft_energy_ev_per_cell": -48.5, "raw_formation_energy_ev_per_fu": -12.14}

---

{"formula": "Li3TbU3Se8", "functional": "PBE-GGA", "state": "relaxed", "lattice_angstrom": [[4.074, 2.352, 6.529], [-4.074, 2.352, 6.529], [0.000, -4.704, 6.529]], "species": ["Li", "Li", "Li", "Tb", "U", "U", "U", "Se", "Se", "Se", "Se", "Se", "Se", "Se", "Se"], "fractional_positions": [[0.000, 0.500, 0.500], [0.500, 0.000, 0.500], [0.500, 0.500, 0.000], [0.500, 0.500, 0.500], [0.000, 0.000, 0.500], [0.000, 0.500, 0.000], [0.500, 0.000, 0.000], [0.249, 0.249, 0.750], [0.249, 0.750, 0.249], [0.250, 0.751, 0.751], [0.253, 0.253, 0.253], [0.747, 0.747, 0.747], [0.750, 0.249, 0.249], [0.751, 0.250, 0.751], [0.751, 0.751, 0.250]], "dft_energy_ev_per_cell": -91.6, "raw_formation_energy_ev_per_fu": -19.53}

---

{"formula": "LiTb2USe5", "functional": "PBE-GGA", "state": "relaxed", "lattice_angstrom": [[2.028, -8.514, 0.000], [2.028, 8.514, 0.000], [0.000, 0.000, 12.427]], "species": ["Li", "Li", "Tb", "Tb", "Tb", "Tb", "U", "U", "Se", "Se", "Se", "Se", "Se", "Se", "Se", "Se", "Se", "Se"], "fractional_positions": [[0.019, 0.981, 0.500], [0.981, 0.019, 0.000], [0.373, 0.627, 0.320], [0.392, 0.608, 0.712], [0.608, 0.392, 0.212], [0.627, 0.373, 0.820], [0.301, 0.699, 0.030], [0.699, 0.301, 0.530], [0.001, 0.999, 0.807], [0.133, 0.867, 0.026], [0.189, 0.811, 0.367], [0.214, 0.786, 0.692], [0.453, 0.547, 0.100], [0.547, 0.453, 0.600], [0.786, 0.214, 0.192], [0.811, 0.189, 0.867], [0.867, 0.133, 0.526], [0.999, 0.001, 0.307]], "dft_energy_ev_per_cell": -106.1, "raw_formation_energy_ev_per_fu": -13.16}